# 1
! MgNp3Se6, optimized geometry, DFT GGA-PBE; values from VASP
! V: 27.068 A^3/atom
! Magnetization: 3.83 μB per formula unit
! Space group: Cmc2_1 (36)
! ΔE_f (raw): -1.101 eV/atom
&SYSTEM
  ibrav = 0, nat = 20, ntyp = 3
/
ATOMIC_SPECIES
Mg 24.30 Mg.upf
Np 237.00 Np.upf
Se 78.96 Se.upf
CELL_PARAMETERS angstrom
5.632 -6.936 0.000
5.632 6.936 0.000
0.000 0.000 6.930
ATOMIC_POSITIONS angstrom
Mg 5.632 4.192 3.465
Mg 5.632 -4.192 0.000
Np 2.019 1.403 3.182
Np 2.019 -1.403 6.646
Np 5.632 1.428 6.089
Np 5.632 -1.428 2.624
Np 9.245 1.403 3.182
Np 9.245 -1.403 6.646
Se 5.632 6.524 4.654
Se 3.661 3.179 4.810
Se 5.632 3.823 0.923
Se 3.799 0.409 1.160
Se 3.799 -0.409 4.625
Se 7.603 3.179 4.810
Se 3.661 -3.179 1.345
Se 7.465 0.409 1.160
Se 7.465 -0.409 4.625
Se 5.632 -3.823 4.388
Se 7.603 -3.179 1.345
Se 5.632 -6.524 1.189

=====

# 2
! Mg2NpTl3Se6, optimized geometry, DFT GGA-PBE; values from VASP
! V: 27.280 A^3/atom
! Magnetization: 2.00 μB per formula unit
! Space group: C2/m (12)
! ΔE_f (raw): -0.844 eV/atom
&SYSTEM
  ibrav = 0, nat = 12, ntyp = 4
/
ATOMIC_SPECIES
Mg 24.30 Mg.upf
Np 237.00 Np.upf
Tl 204.38 Tl.upf
Se 78.96 Se.upf
CELL_PARAMETERS angstrom
3.495 -6.051 0.000
3.495 6.051 0.000
-2.321 0.000 7.739
ATOMIC_POSITIONS angstrom
Mg 3.495 4.035 0.000
Mg 3.495 -4.035 0.000
Np 3.495 0.000 0.000
Tl -1.161 0.000 3.870
Tl 2.335 2.019 3.870
Tl 2.335 -2.019 3.870
Se 0.017 1.996 6.210
Se 1.187 0.000 1.547
Se 0.017 -1.996 6.210
Se 4.652 1.996 1.529
Se 3.483 0.000 6.192
Se 4.652 -1.996 1.529

=====

# 3
! MgNpSi2, optimized geometry, DFT GGA-PBE; values from VASP
! V: 18.560 A^3/atom
! Magnetization: 3.70 μB per formula unit
! Space group: Fm-3m (225)
! ΔE_f (raw): -0.004 eV/atom
&SYSTEM
  ibrav = 0, nat = 4, ntyp = 3
/
ATOMIC_SPECIES
Mg 24.30 Mg.upf
Np 237.00 Np.upf
Si 28.09 Si.upf
CELL_PARAMETERS angstrom
0.000 3.336 3.336
3.336 0.000 3.336
3.336 3.336 0.000
ATOMIC_POSITIONS angstrom
Mg 0.000 0.000 0.000
Np 3.336 3.336 3.336
Si 1.668 1.668 1.668
Si 5.004 5.004 5.004

=====

# 4
! MgNpSi2, optimized geometry, DFT GGA-PBE; values from VASP
! V: 18.461 A^3/atom
! Magnetization: 3.38 μB per formula unit
! Space group: P4/mmm (123)
! ΔE_f (raw): -0.110 eV/atom
&SYSTEM
  ibrav = 0, nat = 4, ntyp = 3
/
ATOMIC_SPECIES
Mg 24.30 Mg.upf
Np 237.00 Np.upf
Si 28.09 Si.upf
CELL_PARAMETERS angstrom
4.354 0.000 0.000
0.000 4.354 0.000
0.000 0.000 3.896
ATOMIC_POSITIONS angstrom
Mg 0.000 0.000 0.000
Np 2.177 2.177 0.000
Si 0.000 2.177 1.948
Si 2.177 0.000 1.948

=====

# 5
! MgNpSn2, optimized geometry, DFT GGA-PBE; values from VASP
! V: 25.287 A^3/atom
! Magnetization: 3.58 μB per formula unit
! Energy relative to the lowest polymorph listed for this composition: 288 meV/atom
! Space group: R-3m (166)
&SYSTEM
  ibrav = 0, nat = 4, ntyp = 3
/
ATOMIC_SPECIES
Mg 24.30 Mg.upf
Np 237.00 Np.upf
Sn 118.71 Sn.upf
CELL_PARAMETERS angstrom
1.586 0.915 11.613
-1.586 0.915 11.613
0.000 -1.831 11.613
ATOMIC_POSITIONS angstrom
Mg 0.000 0.000 0.000
Np 0.000 0.000 17.420
Sn 0.000 0.000 3.021
Sn 0.000 0.000 31.818

=====

# 6
! MgNpSn, optimized geometry, DFT GGA-PBE; values from VASP
! V: 23.442 A^3/atom
! Magnetization: 1.27 μB per formula unit
! Final energy: -6.171 eV/atom
! Space group: C2/m (12)
&SYSTEM
  ibrav = 0, nat = 6, ntyp = 3
/
ATOMIC_SPECIES
Mg 24.30 Mg.upf
Np 237.00 Np.upf
Sn 118.71 Sn.upf
CELL_PARAMETERS angstrom
4.930 -1.712 0.000
4.930 1.712 0.000
-1.211 0.000 8.333
ATOMIC_POSITIONS angstrom
Mg 1.311 0.000 0.666
Mg 7.338 0.000 7.667
Np 1.092 0.000 3.858
Np 7.557 0.000 4.475
Sn 3.914 0.000 2.010
Sn 4.735 0.000 6.322

=====

# 7
! MgNpSn2, optimized geometry, DFT GGA-PBE; values from VASP
! V: 25.162 A^3/atom
! Magnetization: 4.38 μB per formula unit
! Energy relative to the lowest polymorph listed for this composition: 149 meV/atom
! Space group: Fm-3m (225)
&SYSTEM
  ibrav = 0, nat = 4, ntyp = 3
/
ATOMIC_SPECIES
Mg 24.30 Mg.upf
Np 237.00 Np.upf
Sn 118.71 Sn.upf
CELL_PARAMETERS angstrom
0.000 3.692 3.692
3.692 0.000 3.692
3.692 3.692 0.000
ATOMIC_POSITIONS angstrom
Mg 0.000 0.000 0.000
Np 3.692 3.692 3.692
Sn 1.846 1.846 1.846
Sn 5.538 5.538 5.538

=====

# 8
! MgNpSn, optimized geometry, DFT GGA-PBE; values from VASP
! V: 24.401 A^3/atom
! Magnetization: 4.59 μB per formula unit
! Final energy: -6.111 eV/atom
! Space group: P-6m2 (187)
&SYSTEM
  ibrav = 0, nat = 3, ntyp = 3
/
ATOMIC_SPECIES
Mg 24.30 Mg.upf
Np 237.00 Np.upf
Sn 118.71 Sn.upf
CELL_PARAMETERS angstrom
5.057 0.000 0.000
-2.529 4.380 0.000
0.000 0.000 3.305
ATOMIC_POSITIONS angstrom
Mg 0.000 0.000 0.000
Np 2.529 1.460 1.652
Sn 0.000 2.920 0.000

=====

# 9
! MgNpSn2, optimized geometry, DFT GGA-PBE; values from VASP
! V: 24.409 A^3/atom
! Magnetization: 4.17 μB per formula unit
! Energy relative to the lowest polymorph listed for this composition: 0 meV/atom
! Space group: P4/mmm (123)
&SYSTEM
  ibrav = 0, nat = 4, ntyp = 3
/
ATOMIC_SPECIES
Mg 24.30 Mg.upf
Np 237.00 Np.upf
Sn 118.71 Sn.upf
CELL_PARAMETERS angstrom
4.733 0.000 0.000
0.000 4.733 0.000
0.000 0.000 4.358
ATOMIC_POSITIONS angstrom
Mg 0.000 0.000 0.000
Np 2.367 2.367 0.000
Sn 0.000 2.367 2.179
Sn 2.367 0.000 2.179

=====

# 10
! MgNpSn, optimized geometry, DFT GGA-PBE; values from VASP
! V: 24.716 A^3/atom
! Magnetization: 4.77 μB per formula unit
! Final energy: -6.037 eV/atom
! Space group: I4mm (107)
&SYSTEM
  ibrav = 0, nat = 3, ntyp = 3
/
ATOMIC_SPECIES
Mg 24.30 Mg.upf
Np 237.00 Np.upf
Sn 118.71 Sn.upf
CELL_PARAMETERS angstrom
-1.637 1.637 6.916
1.637 -1.637 6.916
1.637 1.637 -6.916
ATOMIC_POSITIONS angstrom
Mg 0.000 0.000 0.000
Np 0.000 0.000 4.450
Sn 0.000 0.000 9.028

=====

# 11
! MgNpTlSn, optimized geometry, DFT GGA-PBE; values from VASP
! V: 25.542 A^3/atom
! Magnetization: 4.05 μB per formula unit
! Final energy: -5.114 eV/atom
! Space group: F-43m (216)
&SYSTEM
  ibrav = 0, nat = 4, ntyp = 4
/
ATOMIC_SPECIES
Mg 24.30 Mg.upf
Np 237.00 Np.upf
Tl 204.38 Tl.upf
Sn 118.71 Sn.upf
CELL_PARAMETERS angstrom
0.000 3.710 3.710
3.710 0.000 3.710
3.710 3.710 0.000
ATOMIC_POSITIONS angstrom
Mg 0.000 0.000 0.000
Np 3.710 3.710 3.710
Tl 5.566 5.566 5.566
Sn 1.855 1.855 1.855

=====

# 12
! MgNpZnSn, optimized geometry, DFT GGA-PBE; values from VASP
! V: 22.836 A^3/atom
! Magnetization: 4.59 μB per formula unit
! Final energy: -4.918 eV/atom
! Space group: F-43m (216)
&SYSTEM
  ibrav = 0, nat = 4, ntyp = 4
/
ATOMIC_SPECIES
Mg 24.30 Mg.upf
Np 237.00 Np.upf
Zn 65.41 Zn.upf
Sn 118.71 Sn.upf
CELL_PARAMETERS angstrom
0.000 3.574 3.574
3.574 0.000 3.574
3.574 3.574 0.000
ATOMIC_POSITIONS angstrom
Mg 0.000 0.000 0.000
Np 3.574 3.574 3.574
Zn 1.787 1.787 1.787
Sn 5.362 5.362 5.362

=====

Q: Which of these has the lowest magnetization?
A: number 6

=====

Q: V of number 3 (MgNpSi2)?
A: 18.560 A^3/atom

=====

Q: What is the formula in the sixth record?
A: MgNpSn